Here is crystalline TiSICl2 at its relaxed geometry from Alexandria. Energies are from PBE.

Cell lengths 5.4633, 5.4633, 5.2352 Å; angles 90.00, 90.00, 90.00 degrees
Last column: magnetic moment on the atom in μB.
Fractional coordinates of all 5 atoms:
I  0.0000  0.0000  0.0000  -0.01
S  0.0000  0.0000  0.5000  0.03
Cl  0.0000  0.5000  0.0000  0.00
Cl  0.5000  0.0000  0.0000  0.00
Ti  0.5000  0.5000  0.5000  -2.21

Output
symmetry	P4/mmm
uncorrected formation energy	629	meV/atom
electronic total energy	-0.20761	Ry per atom
crystal system	tetragonal
polymorph energy (0 for the lowest one)	6.287	eV/f.u.